Record 1
# PBE Pm5Co2I2, optimized geometry
data_Pm5Co2I2
_symmetry_space_group_name_H-M 'C m c e'
_symmetry_Int_Tables_number 64
_symmetry_space_group_name_Hall '-C 2ac 2'
_cell_length_a 16.877
_cell_length_b 7.814
_cell_length_c 7.838
_cell_angle_alpha 90.00
_cell_angle_beta 90.00
_cell_angle_gamma 90.00
loop_
_atom_site_label
_atom_site_type_symbol
_atom_site_fract_x
_atom_site_fract_y
_atom_site_fract_z
Pm1 Pm 0.000 0.000 0.000
Pm2 Pm 0.105 0.153 0.346
Co1 Co 0.000 0.143 0.639
I1 I 0.211 0.000 0.000
# DFT total energy in eV for the cell shown: -180.68
# DOS at the Fermi energy in states/eV/f.u.: 6.975

***

Record 2
# PBE Pm7CoI12, optimized geometry
data_Pm7CoI12
_symmetry_space_group_name_H-M 'R -3'
_symmetry_Int_Tables_number 148
_symmetry_space_group_name_Hall '-R 3'
_cell_length_a 15.9519
_cell_length_b 15.9519
_cell_length_c 11.1756
_cell_angle_alpha 90.00
_cell_angle_beta 90.00
_cell_angle_gamma 120.00
loop_
_atom_site_label
_atom_site_type_symbol
_atom_site_fract_x
_atom_site_fract_y
_atom_site_fract_z
Pm1 Pm 0.0000 0.0000 0.0000
Pm2 Pm 0.0418 0.8851 0.3630
Co1 Co 0.0000 0.0000 0.5000
I1 I 0.0196 0.4327 0.1579
I2 I 0.0485 0.8716 0.8361
# DFT total energy in eV for the cell shown: -250.46
# DOS at the Fermi energy in states/eV/f.u.: 10.463